1.
# RuPbBr2, optimized geometry, DFT PBE
# - Calculated volume: 115.8 Å³/cell
# - ΔE to the lowest computed polymorph: 43 meV/atom
# - Final energy: -4.056 eV per atom
# - DOS(E_F): 0.6789 states/eV/atom
# - Magnetic moment: 0.2 μB per cell
data_RuPbBr2
_space_group_name_H-M_alt 'P 1'
_space_group_IT_number 1
_cell_length_a 7.2917
_cell_length_b 7.2917
_cell_length_c 5.0334
_cell_angle_alpha 110.04
_cell_angle_beta 110.04
_cell_angle_gamma 27.55
loop_
_space_group_symop_operation_xyz
'x,y,z'
loop_
_atom_site_label
_atom_site_type_symbol
_atom_site_fract_x
_atom_site_fract_y
_atom_site_fract_z
Ru1 Ru 0.0000 0.0000 0.0000
Pb1 Pb 0.5000 0.5000 0.5000
Br1 Br 0.3546 0.3546 0.8545
Br2 Br 0.6454 0.6454 0.1455



2.
# AlRhCl2, optimized geometry, DFT PBE
# - Calculated volume: 83.4 Å³/cell
# - ΔE to the lowest computed polymorph: 164 meV/atom
# - Final energy: -4.127 eV per atom
# - DOS(E_F): 0.7925 states/eV/atom
# - Magnetic moment: 0.2 μB per cell
data_AlRhCl2
_space_group_name_H-M_alt 'P 1'
_space_group_IT_number 1
_cell_length_a 3.3666
_cell_length_b 3.3666
_cell_length_c 8.8927
_cell_angle_alpha 90.00
_cell_angle_beta 90.00
_cell_angle_gamma 124.12
loop_
_space_group_symop_operation_xyz
'x,y,z'
loop_
_atom_site_label
_atom_site_type_symbol
_atom_site_fract_x
_atom_site_fract_y
_atom_site_fract_z
Al1 Al 0.0000 0.0000 0.0000
Rh1 Rh 0.5000 0.5000 0.2092
Cl1 Cl 0.0000 0.0000 0.4119
Cl2 Cl 0.5000 0.5000 0.8026



3.
# LiSc2Tl4, optimized geometry, DFT PBE
# - ΔH_f (0 K): -0.210 eV per atom
# - Calculated volume: 174.8 Å³/cell
# - Final energy: -3.645 eV per atom
# - DOS(E_F): 0.4151 states/eV/atom
# - Magnetic moment: 0.0 μB per cell
data_LiSc2Tl4
_space_group_name_H-M_alt 'P 1'
_space_group_IT_number 1
_cell_length_a 6.0988
_cell_length_b 6.0988
_cell_length_c 4.9619
_cell_angle_alpha 90.00
_cell_angle_beta 90.00
_cell_angle_gamma 108.74
loop_
_space_group_symop_operation_xyz
'x,y,z'
loop_
_atom_site_label
_atom_site_type_symbol
_atom_site_fract_x
_atom_site_fract_y
_atom_site_fract_z
Li1 Li 0.0000 0.0000 0.0000
Sc1 Sc 0.2316 0.7684 0.5000
Sc2 Sc 0.7684 0.2316 0.5000
Tl1 Tl 0.0000 0.5000 0.0000
Tl2 Tl 0.2790 0.2790 0.5000
Tl3 Tl 0.5000 0.0000 0.0000
Tl4 Tl 0.7210 0.7210 0.5000



4.
# Cu2SiTc, optimized geometry, DFT PBE
# - Calculated volume: 51.5 Å³/cell
# - Final energy: -5.921 eV per atom
# - DOS(E_F): 0.8475 states/eV/atom
# - Magnetic moment: 0.3 μB per cell
data_Cu2SiTc
_space_group_name_H-M_alt 'P 1'
_space_group_IT_number 1
_cell_length_a 4.8696
_cell_length_b 4.8696
_cell_length_c 4.8696
_cell_angle_alpha 137.79
_cell_angle_beta 137.79
_cell_angle_gamma 61.22
loop_
_space_group_symop_operation_xyz
'x,y,z'
loop_
_atom_site_label
_atom_site_type_symbol
_atom_site_fract_x
_atom_site_fract_y
_atom_site_fract_z
Cu1 Cu 0.2500 0.7500 0.5000
Cu2 Cu 0.7500 0.2500 0.5000
Si1 Si 0.0000 0.0000 0.0000
Tc1 Tc 0.5000 0.5000 0.0000



5.
# TbTmTl, optimized geometry, DFT PBE
# - ΔH_f (0 K): -0.030 eV per atom
# - Calculated volume: 97.2 Å³/cell
# - ΔE to the lowest computed polymorph: 223 meV/atom
# - Final energy: -3.853 eV per atom
# - DOS(E_F): 1.4427 states/eV/atom
# - Magnetic moment: 0.0 μB per cell
data_TbTmTl
_space_group_name_H-M_alt 'P 1'
_space_group_IT_number 1
_cell_length_a 5.1614
_cell_length_b 5.1614
_cell_length_c 5.1614
_cell_angle_alpha 60.00
_cell_angle_beta 60.00
_cell_angle_gamma 60.00
loop_
_space_group_symop_operation_xyz
'x,y,z'
loop_
_atom_site_label
_atom_site_type_symbol
_atom_site_fract_x
_atom_site_fract_y
_atom_site_fract_z
Tb1 Tb 0.0000 0.0000 0.0000
Tm1 Tm 0.5000 0.5000 0.5000
Tl1 Tl 0.2500 0.2500 0.2500



6.
# RbTeI2Br, optimized geometry, DFT PBE
# - Calculated volume: 353.5 Å³/cell
# - ΔE to the lowest computed polymorph: 954 meV/atom
# - Final energy: -1.477 eV per atom
# - DOS(E_F): 2.5928 states/eV/atom
# - Magnetic moment: 4.0 μB per cell
data_RbTeI2Br
_space_group_name_H-M_alt 'P 1'
_space_group_IT_number 1
_cell_length_a 6.9116
_cell_length_b 6.9116
_cell_length_c 7.4002
_cell_angle_alpha 90.00
_cell_angle_beta 90.00
_cell_angle_gamma 90.00
loop_
_space_group_symop_operation_xyz
'x,y,z'
loop_
_atom_site_label
_atom_site_type_symbol
_atom_site_fract_x
_atom_site_fract_y
_atom_site_fract_z
Rb1 Rb 0.0000 0.0000 0.0000
Te1 Te 0.0000 0.0000 0.5000
I1 I 0.0000 0.5000 0.0000
I2 I 0.5000 0.0000 0.0000
Br1 Br 0.5000 0.5000 0.5000



7.
# AuSICl2, optimized geometry, DFT PBE
# - Calculated volume: 124.8 Å³/cell
# - ΔE to the lowest computed polymorph: 0 meV/atom
# - Final energy: -2.195 eV per atom
# - DOS(E_F): 1.0577 states/eV/atom
# - Magnetic moment: 0.0 μB per cell
data_AuSICl2
_space_group_name_H-M_alt 'P 1'
_space_group_IT_number 1
_cell_length_a 4.8825
_cell_length_b 4.8825
_cell_length_c 5.2356
_cell_angle_alpha 90.00
_cell_angle_beta 90.00
_cell_angle_gamma 90.00
loop_
_space_group_symop_operation_xyz
'x,y,z'
loop_
_atom_site_label
_atom_site_type_symbol
_atom_site_fract_x
_atom_site_fract_y
_atom_site_fract_z
Au1 Au 0.0000 0.0000 0.0000
S1 S 0.0000 0.0000 0.5000
I1 I 0.5000 0.5000 0.5000
Cl1 Cl 0.0000 0.5000 0.0000
Cl2 Cl 0.5000 0.0000 0.0000



8.
# NdYHo2Er5, optimized geometry, DFT PBE
# - ΔH_f (0 K): 0.289 eV per atom
# - Calculated volume: 571.6 Å³/cell
# - Final energy: -4.512 eV per atom
# - DOS(E_F): 1.2525 states/eV/atom
# - Magnetic moment: 0.0 μB per cell
data_NdYHo2Er5
_space_group_name_H-M_alt 'P 1'
_space_group_IT_number 1
_cell_length_a 9.7271
_cell_length_b 9.7271
_cell_length_c 9.7271
_cell_angle_alpha 126.77
_cell_angle_beta 126.77
_cell_angle_gamma 78.62
loop_
_space_group_symop_operation_xyz
'x,y,z'
loop_
_atom_site_label
_atom_site_type_symbol
_atom_site_fract_x
_atom_site_fract_y
_atom_site_fract_z
Nd1 Nd 0.2500 0.7500 0.5000
Nd2 Nd 0.7500 0.2500 0.5000
Y1 Y 0.2500 0.2500 0.0000
Y2 Y 0.7500 0.7500 0.0000
Ho1 Ho 0.1164 0.6164 0.7327
Ho2 Ho 0.3836 0.1164 0.5000
Ho3 Ho 0.6164 0.8836 0.5000
Ho4 Ho 0.8836 0.3836 0.2673
Er1 Er 0.0000 0.0000 0.0000
Er2 Er 0.0686 0.1632 0.5000
Er3 Er 0.1632 0.6632 0.0945
Er4 Er 0.3368 0.4314 0.5000
Er5 Er 0.4314 0.9314 0.0945
Er6 Er 0.5000 0.5000 0.0000
Er7 Er 0.5686 0.0686 0.9055
Er8 Er 0.6632 0.5686 0.5000
Er9 Er 0.8368 0.3368 0.9055
Er10 Er 0.9314 0.8368 0.5000